(1)
Material: CaNi2HgOs
Method: DFT, GGA-PBE
State: optimized geometry

ΔH_f (0 K) ... 1.299 eV per atom
Crystal system ... tetragonal
Total moment ... 2.1 μB per cell

```
data_CaNi2HgOs
_chemical_formula_sum 'Ca1 Ni2 Hg1 Os1'
_cell_length_a 4.763
_cell_length_b 4.763
_cell_length_c 5.081
_cell_angle_alpha 90.00
_cell_angle_beta 90.00
_cell_angle_gamma 90.00
_space_group_name_H-M_alt 'P 4/m m m'
_space_group_IT_number 123
_space_group_name_Hall '-P 4 2'
loop_
_atom_site_label
_atom_site_type_symbol
_atom_site_fract_x
_atom_site_fract_y
_atom_site_fract_z
Ca1 Ca 0.000 0.000 0.000
Ni1 Ni 0.000 0.500 0.500
Hg1 Hg 0.500 0.500 0.500
Os1 Os 0.500 0.500 0.000
```

---

(2)
Material: Ca2NiHgP
Method: DFT, GGA-PBE
State: optimized geometry

ΔH_f (0 K) ... -0.535 eV per atom
Crystal system ... tetragonal
Total moment ... 0.0 μB per cell
Energy above the most stable polymorph in this dataset ... 0.0000 eV/atom

```
data_Ca2NiHgP
_chemical_formula_sum 'Ca2 Ni1 Hg1 P1'
_cell_length_a 5.520
_cell_length_b 5.520
_cell_length_c 4.178
_cell_angle_alpha 90.00
_cell_angle_beta 90.00
_cell_angle_gamma 90.00
_space_group_name_H-M_alt 'P 4/m m m'
_space_group_IT_number 123
_space_group_name_Hall '-P 4 2'
loop_
_atom_site_label
_atom_site_type_symbol
_atom_site_fract_x
_atom_site_fract_y
_atom_site_fract_z
Ca1 Ca 0.000 0.500 0.000
Ni1 Ni 0.000 0.000 0.500
Hg1 Hg 0.500 0.500 0.500
P1 P 0.000 0.000 0.000
```

---

(3)
Material: Ca2NiHgPb
Method: DFT, GGA-PBE
State: optimized geometry

ΔH_f (0 K) ... -0.264 eV per atom
Crystal system ... tetragonal
Total moment ... 0.0 μB per cell

```
data_Ca2NiHgPb
_chemical_formula_sum 'Ca2 Ni1 Hg1 Pb1'
_cell_length_a 5.487
_cell_length_b 5.487
_cell_length_c 4.850
_cell_angle_alpha 90.00
_cell_angle_beta 90.00
_cell_angle_gamma 90.00
_space_group_name_H-M_alt 'P 4/m m m'
_space_group_IT_number 123
_space_group_name_Hall '-P 4 2'
loop_
_atom_site_label
_atom_site_type_symbol
_atom_site_fract_x
_atom_site_fract_y
_atom_site_fract_z
Ca1 Ca 0.000 0.500 0.000
Ni1 Ni 0.000 0.000 0.000
Hg1 Hg 0.500 0.500 0.500
Pb1 Pb 0.000 0.000 0.500
```

---

(4)
Material: CaNiHg2Pd
Method: DFT, GGA-PBE
State: optimized geometry

ΔH_f (0 K) ... 0.127 eV per atom
Crystal system ... tetragonal
Total moment ... 0.0 μB per cell

```
data_CaNiHg2Pd
_chemical_formula_sum 'Ca1 Ni1 Hg2 Pd1'
_cell_length_a 4.912
_cell_length_b 4.912
_cell_length_c 5.020
_cell_angle_alpha 90.00
_cell_angle_beta 90.00
_cell_angle_gamma 90.00
_space_group_name_H-M_alt 'P 4/m m m'
_space_group_IT_number 123
_space_group_name_Hall '-P 4 2'
loop_
_atom_site_label
_atom_site_type_symbol
_atom_site_fract_x
_atom_site_fract_y
_atom_site_fract_z
Ca1 Ca 0.000 0.000 0.000
Ni1 Ni 0.000 0.000 0.500
Hg1 Hg 0.000 0.500 0.500
Pd1 Pd 0.500 0.500 0.000
```